Record 1
# Tm7Co2Ir2

A geometry-optimized Tm7Co2Ir2 structure (PBE-GGA, the Alexandria database).

formation energy from the elements: -3.46 eV/f.u.
SG: Cmmm (65)

Unit cell a=6.341 b=6.579 c=6.341 alpha=89.99 beta=106.89 gamma=90.01
Fractional positions:
Tm (0.500, 0.264, 0.000)
Co (0.715, 0.000, 0.285)
Ir (0.184, 0.500, 0.184)
Tm (0.000, 0.264, 0.500)
Co (0.285, 0.000, 0.715)
Tm (0.500, 0.736, 0.000)
Tm (0.000, 0.000, 0.000)
Tm (0.000, 0.736, 0.500)
Tm (0.500, 0.255, 0.500)
Ir (0.816, 0.500, 0.816)
Tm (0.500, 0.745, 0.500)

Record 2
# Ga6CuRh5

A geometry-optimized Ga6CuRh5 structure (PBE-GGA, the Alexandria database).

formation energy from the elements: -6.71 eV/f.u.
SG: Immm (71)

Unit cell a=4.336 b=5.925 c=7.525 alpha=113.19 beta=106.75 gamma=90.00
Fractional positions:
Rh (0.333, 0.833, 0.667)
Ga (0.168, 0.919, 0.335)
Rh (0.667, 0.167, 0.333)
Ga (0.500, 0.246, 0.000)
Rh (0.338, 0.338, 0.675)
Ga (0.832, 0.584, 0.665)
Ga (0.500, 0.754, 0.000)
Rh (0.000, 0.500, 0.000)
Ga (0.832, 0.081, 0.665)
Rh (0.662, 0.662, 0.325)
Ga (0.168, 0.416, 0.335)
Cu (0.000, 0.000, 0.000)

Record 3
# K2PtPb2

A geometry-optimized K2PtPb2 structure (PBE-GGA, the Alexandria database).

formation energy from the elements: -0.55 eV/f.u.
SG: I4_1/amd (141)

Unit cell a=4.952 b=4.952 c=16.116 alpha=98.84 beta=98.84 gamma=90.00
Fractional positions:
Pt (0.500, 0.500, 0.000)
Pb (0.036, 0.536, 0.072)
Pb (0.464, 0.964, 0.928)
Pt (0.250, 0.750, 0.500)
K (0.827, 0.827, 0.654)
Pb (0.286, 0.286, 0.572)
K (0.577, 0.077, 0.154)
K (0.923, 0.423, 0.846)
Pb (0.714, 0.714, 0.428)
K (0.173, 0.173, 0.346)

Record 4
# Th2PaCo12Si3

A geometry-optimized Th2PaCo12Si3 structure (PBE-GGA, the Alexandria database).

SG: R-3m (166)
formation energy without anion corrections: -0.130 eV per atom

Unit cell a=6.354 b=6.354 c=6.354 alpha=84.69 beta=84.69 gamma=84.69
Fractional positions:
Co (0.616, 0.616, 0.091)
Co (0.191, 0.191, 0.692)
Co (0.692, 0.191, 0.191)
Si (0.000, 0.000, 0.500)
Co (0.616, 0.091, 0.616)
Co (0.384, 0.384, 0.909)
Co (0.809, 0.308, 0.809)
Co (0.909, 0.384, 0.384)
Pa (0.000, 0.000, 0.000)
Th (0.653, 0.653, 0.653)
Si (0.000, 0.500, 0.000)
Co (0.191, 0.692, 0.191)
Co (0.308, 0.809, 0.809)
Co (0.384, 0.909, 0.384)
Th (0.347, 0.347, 0.347)
Si (0.500, 0.000, 0.000)
Co (0.809, 0.809, 0.308)
Co (0.091, 0.616, 0.616)

Record 5
# Li2CaPb2

A geometry-optimized Li2CaPb2 structure (PBE-GGA, the Alexandria database).

formation energy from the elements: -1.79 eV/f.u.
SG: P4/mbm (127)

Unit cell a=8.444 b=8.444 c=3.370 alpha=90.00 beta=90.00 gamma=90.00
Fractional positions:
Pb (0.178, 0.678, 0.500)
Pb (0.822, 0.322, 0.500)
Li (0.884, 0.616, 0.000)
Ca (0.500, 0.500, 0.000)
Ca (0.000, 0.000, 0.000)
Li (0.616, 0.116, 0.000)
Li (0.384, 0.884, 0.000)
Li (0.116, 0.384, 0.000)
Pb (0.322, 0.178, 0.500)
Pb (0.678, 0.822, 0.500)

Record 6
# TiMoBr2

A geometry-optimized TiMoBr2 structure (PBE-GGA, the Alexandria database).

SG: I-42d (122)
formation energy without anion corrections: 0.357 eV per atom

Unit cell a=4.406 b=4.406 c=8.834 alpha=75.56 beta=75.56 gamma=90.00
Fractional positions:
Br (0.123, 0.625, 0.250)
Mo (0.000, 0.000, 0.000)
Mo (0.750, 0.250, 0.500)
Br (0.627, 0.125, 0.250)
Ti (0.250, 0.750, 0.500)
Br (0.375, 0.373, 0.750)
Ti (0.500, 0.500, 0.000)
Br (0.875, 0.877, 0.750)

Record 7
# EuLu2Ga

A geometry-optimized EuLu2Ga structure (PBE-GGA, the Alexandria database).

formation energy from the elements: -0.05 eV/f.u.
SG: Fm-3m (225)

Unit cell a=5.292 b=5.292 c=5.289 alpha=59.98 beta=59.98 gamma=60.00
Fractional positions:
Ga (0.000, 0.000, 0.000)
Lu (0.250, 0.250, 0.250)
Eu (0.500, 0.500, 0.500)
Lu (0.750, 0.750, 0.750)

Record 8
# Er2HSe

A geometry-optimized Er2HSe structure (PBE-GGA, the Alexandria database).

E_tot: -40.33 eV for the cell shown
SG: Pmn2_1 (31)

Unit cell a=3.892 b=4.340 c=9.467 alpha=90.00 beta=90.00 gamma=90.00
Fractional positions:
H (0.701, 0.279, 0.988)
Er (0.701, 0.550, 0.184)
H (0.201, 0.779, 0.228)
Se (0.701, 0.554, 0.483)
Se (0.201, 0.054, 0.733)
Er (0.701, 0.551, 0.794)
Er (0.201, 0.051, 0.422)
Er (0.201, 0.050, 0.032)

no.,mass density (g/cm³),DOS at the Fermi energy (states/eV/atom)
1,11.1,0.606
2,9.8,0.389
3,5.9,0.608
4,9.7,0.949
5,6.5,0.382
6,6.3,0.254
7,9.1,1.198
8,8.6,0.574